a) Here is a relaxed structure of Pm8Pd2Au from Alexandria via LeMat-Bulk. Energies are from PBE-GGA.

```
data_Pm8Pd2Au
_chemical_formula_sum 'Pm16 Pd4 Au2'
_symmetry_space_group_name_H-M 'C 1 2/m 1'
_symmetry_Int_Tables_number 12
_cell_length_a 18.517
_cell_length_b 5.246
_cell_length_c 6.872
_cell_angle_alpha 90.00
_cell_angle_beta 108.00
_cell_angle_gamma 90.00
loop_
_symmetry_equiv_pos_as_xyz
'x,y,z'
'-x,-y,-z'
'-x,y,-z'
'x,-y,z'
'x+1/2,y+1/2,z'
'-x+1/2,-y+1/2,-z'
'-x+1/2,y+1/2,-z'
'x+1/2,-y+1/2,z'
loop_
_atom_site_label
_atom_site_type_symbol
_atom_site_fract_x
_atom_site_fract_y
_atom_site_fract_z
Pm1 Pm 0.028 0.000 0.284
Pm2 Pm 0.093 0.500 0.972
Pm3 Pm 0.174 0.500 0.506
Pm4 Pm 0.202 0.000 0.844
Pd1 Pd 0.172 0.000 0.239
Au1 Au 0.000 0.500 0.500
```

M_tot ... 0.00 μB per formula unit



b) Here is a relaxed structure of Pm8Pd2Au from Alexandria via LeMat-Bulk. Energies are from PBE-GGA.

```
data_Pm8Pd2Au
_chemical_formula_sum 'Pm16 Pd4 Au2'
_symmetry_space_group_name_H-M 'C 1 m 1'
_symmetry_Int_Tables_number 8
_cell_length_a 8.558
_cell_length_b 13.677
_cell_length_c 6.001
_cell_angle_alpha 90.00
_cell_angle_beta 109.08
_cell_angle_gamma 90.00
loop_
_symmetry_equiv_pos_as_xyz
'x,y,z'
'x,-y,z'
'x+1/2,y+1/2,z'
'x+1/2,-y+1/2,z'
loop_
_atom_site_label
_atom_site_type_symbol
_atom_site_fract_x
_atom_site_fract_y
_atom_site_fract_z
Pm1 Pm 0.000 0.000 0.000
Pm2 Pm 0.094 0.375 0.792
Pm3 Pm 0.159 0.126 0.591
Pm4 Pm 0.249 0.500 0.370
Pm5 Pm 0.380 0.219 0.185
Pd1 Pd 0.376 0.299 0.683
Au1 Au 0.375 0.000 0.036
```

M_tot ... 0.00 μB per formula unit



Preferred: a); penalty for the next structure: 0.109 eV/atom.



a) Here is a relaxed structure of Pm6Pd5Au from Alexandria via LeMat-Bulk. Energies are from PBE-GGA.

```
data_Pm6Pd5Au
_chemical_formula_sum 'Pm12 Pd10 Au2'
_symmetry_space_group_name_H-M 'C 1 2/m 1'
_symmetry_Int_Tables_number 12
_cell_length_a 16.139
_cell_length_b 7.233
_cell_length_c 5.119
_cell_angle_alpha 90.00
_cell_angle_beta 108.13
_cell_angle_gamma 90.00
loop_
_symmetry_equiv_pos_as_xyz
'x,y,z'
'-x,-y,-z'
'-x,y,-z'
'x,-y,z'
'x+1/2,y+1/2,z'
'-x+1/2,-y+1/2,-z'
'-x+1/2,y+1/2,-z'
'x+1/2,-y+1/2,z'
loop_
_atom_site_label
_atom_site_type_symbol
_atom_site_fract_x
_atom_site_fract_y
_atom_site_fract_z
Pm1 Pm 0.000 0.246 0.000
Pm2 Pm 0.168 0.248 0.668
Pd1 Pd 0.000 0.000 0.500
Pd2 Pd 0.166 0.000 0.166
Pd3 Pd 0.166 0.500 0.165
Au1 Au 0.000 0.500 0.500
```

M_tot ... 0.00 μB per formula unit



b) Here is a relaxed structure of Pm6Pd5Au from Alexandria via LeMat-Bulk. Energies are from PBE-GGA.

```
data_Pm6Pd5Au
_chemical_formula_sum 'Pm12 Pd10 Au2'
_symmetry_space_group_name_H-M 'C 1 2/m 1'
_symmetry_Int_Tables_number 12
_cell_length_a 7.309
_cell_length_b 12.547
_cell_length_c 7.280
_cell_angle_alpha 90.00
_cell_angle_beta 109.25
_cell_angle_gamma 90.00
loop_
_symmetry_equiv_pos_as_xyz
'x,y,z'
'-x,-y,-z'
'-x,y,-z'
'x,-y,z'
'x+1/2,y+1/2,z'
'-x+1/2,-y+1/2,-z'
'-x+1/2,y+1/2,-z'
'x+1/2,-y+1/2,z'
loop_
_atom_site_label
_atom_site_type_symbol
_atom_site_fract_x
_atom_site_fract_y
_atom_site_fract_z
Pm1 Pm 0.239 0.000 0.248
Pm2 Pm 0.242 0.171 0.743
Pd1 Pd 0.000 0.000 0.500
Pd2 Pd 0.000 0.169 0.000
Pd3 Pd 0.000 0.339 0.500
Au1 Au 0.000 0.500 0.000
```

M_tot ... 0.00 μB per formula unit



Preferred: a); penalty for the next structure: 0.074 eV/atom.



a) Here is a relaxed structure of Pm2Pd2Au3 from Alexandria via LeMat-Bulk. Energies are from PBE-GGA.

```
data_Pm2Pd2Au3
_chemical_formula_sum 'Pm4 Pd4 Au6'
_symmetry_space_group_name_H-M 'C 1 2/m 1'
_symmetry_Int_Tables_number 12
_cell_length_a 10.122
_cell_length_b 4.215
_cell_length_c 7.055
_cell_angle_alpha 90.00
_cell_angle_beta 96.00
_cell_angle_gamma 90.00
loop_
_symmetry_equiv_pos_as_xyz
'x,y,z'
'-x,-y,-z'
'-x,y,-z'
'x,-y,z'
'x+1/2,y+1/2,z'
'-x+1/2,-y+1/2,-z'
'-x+1/2,y+1/2,-z'
'x+1/2,-y+1/2,z'
loop_
_atom_site_label
_atom_site_type_symbol
_atom_site_fract_x
_atom_site_fract_y
_atom_site_fract_z
Pm1 Pm 0.113 0.000 0.314
Pd1 Pd 0.097 0.500 0.642
Au1 Au 0.000 0.500 0.000
Au2 Au 0.198 0.000 0.873
```

M_tot ... 0.00 μB per formula unit



b) Here is a relaxed structure of Pm2Pd2Au3 from Alexandria via LeMat-Bulk. Energies are from PBE-GGA.

```
data_Pm2Pd2Au3
_chemical_formula_sum 'Pm4 Pd4 Au6'
_symmetry_space_group_name_H-M 'C 1 2/m 1'
_symmetry_Int_Tables_number 12
_cell_length_a 9.849
_cell_length_b 4.205
_cell_length_c 8.425
_cell_angle_alpha 90.00
_cell_angle_beta 116.03
_cell_angle_gamma 90.00
loop_
_symmetry_equiv_pos_as_xyz
'x,y,z'
'-x,-y,-z'
'-x,y,-z'
'x,-y,z'
'x+1/2,y+1/2,z'
'-x+1/2,-y+1/2,-z'
'-x+1/2,y+1/2,-z'
'x+1/2,-y+1/2,z'
loop_
_atom_site_label
_atom_site_type_symbol
_atom_site_fract_x
_atom_site_fract_y
_atom_site_fract_z
Pm1 Pm 0.204 0.000 0.266
Pd1 Pd 0.158 0.000 0.892
Au1 Au 0.000 0.500 0.000
Au2 Au 0.035 0.500 0.359
```

M_tot ... 0.00 μB per formula unit



Preferred: a); penalty for the next structure: 0.078 eV/atom.



a) Here is a relaxed structure of Pm3Pd3Au2 from Alexandria via LeMat-Bulk. Energies are from PBE-GGA.

```
data_Pm3Pd3Au2
_chemical_formula_sum 'Pm12 Pd12 Au8'
_symmetry_space_group_name_H-M 'C m c m'
_symmetry_Int_Tables_number 63
_symmetry_space_group_name_Hall '-C 2c 2'
_cell_length_a 4.189
_cell_length_b 10.963
_cell_length_c 15.902
_cell_angle_alpha 90.00
_cell_angle_beta 90.00
_cell_angle_gamma 90.00
loop_
_atom_site_label
_atom_site_type_symbol
_atom_site_fract_x
_atom_site_fract_y
_atom_site_fract_z
Pm1 Pm 0.000 0.066 0.104
Pm2 Pm 0.000 0.337 0.250
Pd1 Pd 0.000 0.386 0.034
Pd2 Pd 0.000 0.395 0.750
Au1 Au 0.000 0.224 0.614
```

M_tot ... 0.00 μB per formula unit



b) Here is a relaxed structure of Pm3Pd3Au2 from Alexandria via LeMat-Bulk. Energies are from PBE-GGA.

```
data_Pm3Pd3Au2
_chemical_formula_sum 'Pm12 Pd12 Au8'
_symmetry_space_group_name_H-M 'C m c m'
_symmetry_Int_Tables_number 63
_symmetry_space_group_name_Hall '-C 2c 2'
_cell_length_a 4.469
_cell_length_b 9.690
_cell_length_c 16.027
_cell_angle_alpha 90.00
_cell_angle_beta 90.00
_cell_angle_gamma 90.00
loop_
_atom_site_label
_atom_site_type_symbol
_atom_site_fract_x
_atom_site_fract_y
_atom_site_fract_z
Pm1 Pm 0.000 0.033 0.250
Pm2 Pm 0.000 0.149 0.047
Pd1 Pd 0.000 0.332 0.250
Pd2 Pd 0.000 0.456 0.089
Au1 Au 0.000 0.237 0.649
```

M_tot ... 0.00 μB per formula unit



Preferred: a); penalty for the next structure: 0.106 eV/atom.



a) Here is a relaxed structure of PmPd3Au3 from Alexandria via LeMat-Bulk. Energies are from PBE-GGA.

```
data_PmPd3Au3
_chemical_formula_sum 'Pm6 Pd18 Au18'
_symmetry_space_group_name_H-M 'R -3'
_symmetry_Int_Tables_number 148
_symmetry_space_group_name_Hall '-R 3'
_cell_length_a 7.8197
_cell_length_b 7.8197
_cell_length_c 14.6738
_cell_angle_alpha 90.00
_cell_angle_beta 90.00
_cell_angle_gamma 120.00
loop_
_atom_site_label
_atom_site_type_symbol
_atom_site_fract_x
_atom_site_fract_y
_atom_site_fract_z
Pm1 Pm 0.0000 0.0000 0.2390
Pd1 Pd 0.0430 0.2394 0.9233
Au1 Au 0.0309 0.2361 0.4206
```

M_tot ... 0.00 μB per formula unit



b) Here is a relaxed structure of PmPd3Au3 from Alexandria via LeMat-Bulk. Energies are from PBE-GGA.

```
data_PmPd3Au3
_chemical_formula_sum 'Pm2 Pd6 Au6'
_symmetry_space_group_name_H-M 'P 63/m'
_symmetry_Int_Tables_number 176
_symmetry_space_group_name_Hall '-P 6c'
_cell_length_a 7.9372
_cell_length_b 7.9372
_cell_length_c 4.7357
_cell_angle_alpha 90.00
_cell_angle_beta 90.00
_cell_angle_gamma 120.00
loop_
_atom_site_label
_atom_site_type_symbol
_atom_site_fract_x
_atom_site_fract_y
_atom_site_fract_z
Pm1 Pm 0.3333 0.6667 0.2500
Pd1 Pd 0.0846 0.6218 0.7500
Au1 Au 0.0228 0.7903 0.2500
```

M_tot ... 0.00 μB per formula unit



Preferred: b); penalty for the next structure: 0.005 eV/atom.



a) Here is a relaxed structure of Pm2Pd3Au from Alexandria via LeMat-Bulk. Energies are from PBE-GGA.

```
data_Pm2Pd3Au
_chemical_formula_sum 'Pm16 Pd24 Au8'
_symmetry_space_group_name_H-M 'F m m m'
_symmetry_Int_Tables_number 69
_symmetry_space_group_name_Hall '-F 2 2'
_cell_length_a 7.268
_cell_length_b 9.406
_cell_length_c 15.535
_cell_angle_alpha 90.00
_cell_angle_beta 90.00
_cell_angle_gamma 90.00
loop_
_atom_site_label
_atom_site_type_symbol
_atom_site_fract_x
_atom_site_fract_y
_atom_site_fract_z
Pm1 Pm 0.249 0.000 0.000
Pm2 Pm 0.250 0.250 0.250
Pd1 Pd 0.000 0.000 0.161
Pd2 Pd 0.000 0.250 0.085
Au1 Au 0.000 0.000 0.333
```

M_tot ... 0.00 μB per formula unit



b) Here is a relaxed structure of Pm2Pd3Au from Alexandria via LeMat-Bulk. Energies are from PBE-GGA.

```
data_Pm2Pd3Au
_chemical_formula_sum 'Pm4 Pd6 Au2'
_symmetry_space_group_name_H-M 'I m m 2'
_symmetry_Int_Tables_number 44
_cell_length_a 3.876
_cell_length_b 3.939
_cell_length_c 17.921
_cell_angle_alpha 90.00
_cell_angle_beta 90.00
_cell_angle_gamma 90.00
loop_
_symmetry_equiv_pos_as_xyz
'x,y,z'
'-x,-y,z'
'-x,y,z'
'x,-y,z'
'x+1/2,y+1/2,z+1/2'
'-x+1/2,-y+1/2,z+1/2'
'-x+1/2,y+1/2,z+1/2'
'x+1/2,-y+1/2,z+1/2'
loop_
_atom_site_label
_atom_site_type_symbol
_atom_site_fract_x
_atom_site_fract_y
_atom_site_fract_z
Pm1 Pm 0.000 0.000 0.000
Pm2 Pm 0.000 0.500 0.237
Pd1 Pd 0.000 0.000 0.566
Pd2 Pd 0.000 0.500 0.662
Pd3 Pd 0.000 0.500 0.810
Au1 Au 0.000 0.000 0.414
```

M_tot ... 0.00 μB per formula unit



Preferred: a); penalty for the next structure: 0.016 eV/atom.



a) Here is a relaxed structure of Pm2Pd6Au from Alexandria via LeMat-Bulk. Energies are from PBE-GGA.

```
data_Pm2Pd6Au
_chemical_formula_sum 'Pm4 Pd12 Au2'
_symmetry_space_group_name_H-M 'C 1 2/m 1'
_symmetry_Int_Tables_number 12
_cell_length_a 11.032
_cell_length_b 7.255
_cell_length_c 4.408
_cell_angle_alpha 90.00
_cell_angle_beta 90.09
_cell_angle_gamma 90.00
loop_
_symmetry_equiv_pos_as_xyz
'x,y,z'
'-x,-y,-z'
'-x,y,-z'
'x,-y,z'
'x+1/2,y+1/2,z'
'-x+1/2,-y+1/2,-z'
'-x+1/2,y+1/2,-z'
'x+1/2,-y+1/2,z'
loop_
_atom_site_label
_atom_site_type_symbol
_atom_site_fract_x
_atom_site_fract_y
_atom_site_fract_z
Pm1 Pm 0.208 0.000 0.000
Pd1 Pd 0.000 0.292 0.000
Pd2 Pd 0.138 0.313 0.500
Au1 Au 0.000 0.000 0.500
```

M_tot ... 0.00 μB per formula unit



b) Here is a relaxed structure of Pm2Pd6Au from Alexandria via LeMat-Bulk. Energies are from PBE-GGA.

```
data_Pm2Pd6Au
_chemical_formula_sum 'Pm4 Pd12 Au2'
_symmetry_space_group_name_H-M 'C 1 2/m 1'
_symmetry_Int_Tables_number 12
_cell_length_a 12.370
_cell_length_b 4.130
_cell_length_c 6.937
_cell_angle_alpha 90.00
_cell_angle_beta 108.58
_cell_angle_gamma 90.00
loop_
_symmetry_equiv_pos_as_xyz
'x,y,z'
'-x,-y,-z'
'-x,y,-z'
'x,-y,z'
'x+1/2,y+1/2,z'
'-x+1/2,-y+1/2,-z'
'-x+1/2,y+1/2,-z'
'x+1/2,-y+1/2,z'
loop_
_atom_site_label
_atom_site_type_symbol
_atom_site_fract_x
_atom_site_fract_y
_atom_site_fract_z
Pm1 Pm 0.069 0.000 0.329
Pd1 Pd 0.114 0.500 0.678
Pd2 Pd 0.171 0.000 0.001
Pd3 Pd 0.227 0.500 0.312
Au1 Au 0.000 0.500 0.000
```

M_tot ... 0.00 μB per formula unit



Preferred: b); penalty for the next structure: 0.029 eV/atom.



a) Here is a relaxed structure of PmPd5Au2 from Alexandria via LeMat-Bulk. Energies are from PBE-GGA.

```
data_PmPd5Au2
_chemical_formula_sum 'Pm2 Pd10 Au4'
_symmetry_space_group_name_H-M 'I 4/m m m'
_symmetry_Int_Tables_number 139
_symmetry_space_group_name_Hall '-I 4 2'
_cell_length_a 4.175
_cell_length_b 4.175
_cell_length_c 16.093
_cell_angle_alpha 90.00
_cell_angle_beta 90.00
_cell_angle_gamma 90.00
loop_
_atom_site_label
_atom_site_type_symbol
_atom_site_fract_x
_atom_site_fract_y
_atom_site_fract_z
Pm1 Pm 0.000 0.000 0.000
Pd1 Pd 0.000 0.000 0.500
Pd2 Pd 0.000 0.500 0.129
Au1 Au 0.000 0.000 0.251
```

M_tot ... 0.00 μB per formula unit



b) Here is a relaxed structure of PmPd5Au2 from Alexandria via LeMat-Bulk. Energies are from PBE-GGA.

```
data_PmPd5Au2
_chemical_formula_sum 'Pm2 Pd10 Au4'
_symmetry_space_group_name_H-M 'I m m m'
_symmetry_Int_Tables_number 71
_symmetry_space_group_name_Hall '-I 2 2'
_cell_length_a 3.905
_cell_length_b 7.847
_cell_length_c 9.997
_cell_angle_alpha 90.00
_cell_angle_beta 90.00
_cell_angle_gamma 90.00
loop_
_atom_site_label
_atom_site_type_symbol
_atom_site_fract_x
_atom_site_fract_y
_atom_site_fract_z
Pm1 Pm 0.000 0.000 0.000
Pd1 Pd 0.000 0.182 0.361
Pd2 Pd 0.000 0.500 0.000
Au1 Au 0.000 0.500 0.274
```

M_tot ... 0.00 μB per formula unit



Preferred: a); penalty for the next structure: 0.180 eV/atom.